{"formula": "CsErZnSe3", "functional": "PBE", "state": "relaxed", "lattice": [[-5.206, 5.241, 6.215], [-3.383, -0.572, -2.352], [0.000, -9.981, 2.426]], "species": ["Cs", "Cs", "Er", "Er", "Se", "Se", "Se", "Se", "Se", "Se", "Zn", "Zn"], "frac_coords": [[0.277, 0.750, 0.251], [0.723, 0.250, 0.749], [0.830, 0.750, 0.365], [0.170, 0.250, 0.635], [0.695, 0.750, 0.047], [0.021, 0.250, 0.343], [0.622, 0.250, 0.361], [0.378, 0.750, 0.639], [0.979, 0.750, 0.657], [0.305, 0.250, 0.953], [0.583, 0.250, 0.112], [0.417, 0.750, 0.888]], "space_group": "No. 11", "energy_ev_per_atom": -4.256}